(1)
Entry from Alexandria: crystalline Re2AgPb at its relaxed geometry (PBE-GGA).

Values from the calculation:
E_tot ... -6.6117 eV/atom
Magnetization ... 0.00 μB/cell
Space group ... P4/mmm

abc: 3.4545 3.4545 6.1204
angles: 90.00 90.00 90.00
With the nearest neighbours (Å) after each atom.
Sites, in units of the cell vectors:
Re (0.0000, 0.0000, 0.2064)  1 Re 2.53, 4 Ag 2.75
Re (0.0000, 0.0000, 0.7936)  1 Re 2.53, 4 Ag 2.75
Ag (0.5000, 0.5000, 0.0000)  8 Re 2.75, 2 Pb 3.06
Pb (0.5000, 0.5000, 0.5000)  8 Re 3.03, 2 Ag 3.06


(2)
Entry from Alexandria: crystalline ReAgPb2 at its relaxed geometry (PBE-GGA).

Values from the calculation:
Magnetization ... 1.12 μB/cell
Space group ... I-4m2
Energy above the lowest structure with this stoichiometry ... 86 kJ/mol of formula units

abc: 5.6964 5.6964 5.6964
angles: 136.62 136.62 63.03
With the nearest neighbours (Å) after each atom.
Sites, in units of the cell vectors:
Re (0.0000, 0.0000, 0.0000)  8 Pb 2.98-3.21, 4 Ag 3.21
Ag (0.2500, 0.7500, 0.5000)  8 Pb 2.98-3.21, 4 Re 3.21
Pb (0.5000, 0.5000, 0.0000)  4 Re 2.98, 4 Pb 3.21, 4 Ag 3.21
Pb (0.7500, 0.2500, 0.5000)  4 Ag 2.98, 4 Pb 3.21, 4 Re 3.21


(3)
Entry from Alexandria: crystalline Re2AgPb at its relaxed geometry (PBE-GGA).

Values from the calculation:
E_tot ... -6.9497 eV/atom
Magnetization ... 0.00 μB/cell
Space group ... P2/m

abc: 3.3592 4.9438 4.9321
angles: 90.00 95.11 90.00
With the nearest neighbours (Å) after each atom.
Sites, in units of the cell vectors:
Re (0.2084, 0.0000, 0.3244)  2 Re 2.32-2.50
Re (0.7916, 0.0000, 0.6756)  2 Re 2.32-2.50
Ag (0.5000, 0.5000, 0.5000)  4 Re 2.77, 2 Pb 2.86
Pb (0.0000, 0.5000, 0.0000)  4 Ag 2.86-3.10, 4 Re 2.99


(4)
Entry from Alexandria: crystalline Re2AgPb at its relaxed geometry (PBE-GGA).

Values from the calculation:
E_tot ... -6.6701 eV/atom
Magnetization ... 0.00 μB/cell
Space group ... Cmmm

abc: 2.8032 2.8032 10.4241
angles: 90.00 90.00 113.91
With the nearest neighbours (Å) after each atom.
Sites, in units of the cell vectors:
Re (0.0000, 0.0000, 0.2309)  6 Re 2.80-3.06, 2 Ag 2.85
Re (0.0000, 0.0000, 0.7691)  6 Re 2.80-3.06, 2 Ag 2.85
Ag (0.5000, 0.5000, 0.0000)  6 Ag 2.80-3.06, 4 Re 2.85
Pb (0.5000, 0.5000, 0.5000)  6 Pb 2.80-3.06